Entry 1:
Crystalline MgSbCl2 at its relaxed geometry. Source: Alexandria via LeMat-Bulk, functional PBE.

DOS at the Fermi energy	0.243	states/eV per atom
uncorrected formation energy	-3.6	eV per formula unit
uncorrected energy	-3.2419	eV/atom

The structure in POSCAR format:
```
MgSbCl2
1.0
-2.3381 -1.9415 0.8107
2.0571 -2.3640 0.2714
1.7063 2.8270 11.6919
Cl Mg Sb
2 1 1
direct
0.0000 0.0000 0.3742
0.0000 0.0000 0.1258
0.5000 0.5000 0.2500
0.5000 0.5000 0.7500
```

Entry 2:
Crystalline HoThCdOs at its relaxed geometry. Source: Alexandria via LeMat-Bulk, functional PBE.

DOS at the Fermi energy	0.587	states/eV per atom
uncorrected energy	-6.1840	eV/atom
energy relative to the elements	-0.15	eV per atom

The structure in POSCAR format:
```
HoThCdOs
1.0
5.1216 0.0000 0.0000
2.5608 4.4354 0.0000
2.5608 1.4785 4.1818
Th Ho Os Cd
1 1 1 1
direct
0.7500 0.7500 0.7500
0.2500 0.2500 0.2500
0.5000 0.5000 0.5000
0.0000 0.0000 0.0000
```

Entry 3:
Crystalline MnIrRu2 at its relaxed geometry. Source: Alexandria via LeMat-Bulk, functional PBE.

DOS at the Fermi energy	0.980	states/eV per atom
uncorrected energy	-9.1294	eV/atom
energy relative to the elements	0.02	eV per atom

The structure in POSCAR format:
```
MnIrRu2
1.0
2.6915 0.0000 0.0000
0.0000 3.7769 0.0000
0.0000 0.0000 5.3513
Ir Ru Mn
1 2 1
direct
0.5000 0.5000 0.2500
0.0000 0.0000 0.5094
0.0000 0.0000 0.9906
0.5000 0.5000 0.7500
```

Entry 4:
Crystalline TiNiHgTe3 at its relaxed geometry. Source: Alexandria via LeMat-Bulk, functional PBE.

DOS at the Fermi energy	0.704	states/eV per atom
uncorrected formation energy	-2.3	eV per formula unit
uncorrected energy	-4.2847	eV/atom

The structure in POSCAR format:
```
TiNiHgTe3
1.0
3.7673 0.0000 0.0000
0.0000 9.9118 -0.1967
0.0000 -4.9218 8.9276
Te Ni Ti Hg
6 2 2 2
direct
0.7500 0.4689 0.1571
0.2500 0.7990 0.4764
0.2500 0.1282 0.8658
0.7500 0.2010 0.5236
0.7500 0.8718 0.1342
0.2500 0.5311 0.8429
0.7500 0.9072 0.3939
0.2500 0.0928 0.6061
0.2500 0.6810 0.1584
0.7500 0.3190 0.8416
0.7500 0.7771 0.7575
0.2500 0.2229 0.2425
```

Entry 5:
Crystalline Li6PmTl6 at its relaxed geometry. Source: Alexandria via LeMat-Bulk, functional PBE.

DOS at the Fermi energy	0.433	states/eV per atom
uncorrected energy	-2.5812	eV/atom
energy relative to the elements	-0.24	eV per atom

The structure in POSCAR format:
```
Li6PmTl6
1.0
-2.5969 0.1935 -5.3560
-1.1243 -6.7818 -3.0110
-7.4937 -0.2623 0.3129
Li Tl Pm
6 6 1
direct
0.0000 0.0000 0.5000
0.5000 0.2381 0.7619
0.5000 0.5000 0.0000
0.5000 0.7619 0.2381
0.5000 0.0000 0.5000
0.0000 0.5000 0.0000
0.3220 0.1780 0.1780
0.6602 0.3398 0.3398
0.6780 0.8220 0.8220
0.0000 0.3389 0.6611
0.3398 0.6602 0.6602
0.0000 0.6611 0.3389
0.0000 0.0000 0.0000
```

Entry 6:
Crystalline Ac3La7Tb2 at its relaxed geometry. Source: Alexandria via LeMat-Bulk, functional PBE.

DOS at the Fermi energy	1.285	states/eV per atom
uncorrected energy	-4.4933	eV/atom
energy relative to the elements	0.18	eV per atom

The structure in POSCAR format:
```
Ac3La7Tb2
1.0
7.0335 0.0000 1.5466
3.3467 6.1863 1.5466
1.2644 0.7535 11.0167
La Tb Ac
7 2 3
direct
0.6086 0.0530 0.7297
0.3914 0.3914 0.2703
0.6086 0.6086 0.7297
0.0530 0.6086 0.7297
0.3914 0.9470 0.2703
0.9470 0.3914 0.2703
0.5000 0.5000 0.5000
0.3404 0.3404 0.9787
0.6596 0.6596 0.0213
0.0000 0.0000 0.0000
0.8675 0.8675 0.3974
0.1325 0.1325 0.6026
```

Entry 7:
Crystalline PmPrCu2S4 at its relaxed geometry. Source: Alexandria via LeMat-Bulk, functional PBE.

DOS at the Fermi energy	0.195	states/eV per atom
uncorrected formation energy	-9.8	eV per formula unit
uncorrected energy	-5.4992	eV/atom

The structure in POSCAR format:
```
PmPrCu2S4
1.0
-5.3894 1.9966 3.3036
-1.3270 -1.8531 5.6062
0.0647 4.5173 4.0266
Cu Pr S Pm
2 1 4 1
direct
0.1736 0.3264 0.3264
0.8264 0.6736 0.6736
0.0000 0.0000 0.0000
0.9691 0.5190 0.0635
0.5516 0.4810 0.9365
0.4484 0.0635 0.5190
0.0309 0.9365 0.4810
0.5000 0.5000 0.5000
```

Entry 8:
Crystalline Co2RuN at its relaxed geometry. Source: Alexandria via LeMat-Bulk, functional PBE.

DOS at the Fermi energy	1.413	states/eV per atom
uncorrected formation energy	2.1	eV per formula unit
uncorrected energy	-7.4208	eV/atom

The structure in POSCAR format:
```
Co2RuN
1.0
2.6857 0.0000 0.0000
1.3428 2.3259 0.0000
1.3428 0.7753 7.1177
Ru N Co
1 1 2
direct
0.0000 0.0000 0.0000
0.5000 0.5000 0.5000
0.8851 0.8851 0.3448
0.1149 0.1149 0.6552
```